<a>
Here is a relaxed structure of MgCuRu from Alexandria via LeMat-Bulk. Energies are from PBE-GGA.

```
data_MgCuRu
_cell_length_a 4.7301
_cell_length_b 4.7301
_cell_length_c 7.4782
_cell_angle_alpha 112.06
_cell_angle_beta 112.06
_cell_angle_gamma 34.63
_symmetry_space_group_name_H-M 'P 1'
_symmetry_Int_Tables_number 1
loop_
_symmetry_equiv_pos_as_xyz
'x,y,z'
loop_
_atom_site_label
_atom_site_type_symbol
_atom_site_fract_x
_atom_site_fract_y
_atom_site_fract_z
_atom_site_occupancy
Mg1 Mg 0.9997 0.9997 0.2234 1
Mg2 Mg 0.0003 0.0003 0.7766 1
Cu1 Cu 0.3061 0.3061 0.8951 1
Cu2 Cu 0.6939 0.6939 0.1049 1
Ru1 Ru 0.3413 0.3413 0.4352 1
Ru2 Ru 0.6587 0.6587 0.5648 1
```

The value obtained for the density of states at the Fermi level is 2.04 states/eV/f.u. As for the space-group type: C2/m (12).


<b>
Here is a relaxed structure of MgCuRu from Alexandria via LeMat-Bulk. Energies are from PBE-GGA.

```
data_MgCuRu
_cell_length_a 4.7706
_cell_length_b 4.7706
_cell_length_c 4.7706
_cell_angle_alpha 147.94
_cell_angle_beta 130.43
_cell_angle_gamma 60.26
_symmetry_space_group_name_H-M 'P 1'
_symmetry_Int_Tables_number 1
loop_
_symmetry_equiv_pos_as_xyz
'x,y,z'
loop_
_atom_site_label
_atom_site_type_symbol
_atom_site_fract_x
_atom_site_fract_y
_atom_site_fract_z
_atom_site_occupancy
Mg1 Mg 0.0000 0.0000 0.0000 1
Cu1 Cu 0.3298 0.3298 0.0000 1
Ru1 Ru 0.6727 0.6727 0.0000 1
```

The value obtained for the density of states at the Fermi level is 1.85 states/eV/f.u. As for the space-group type: Imm2 (44).


<c>
Here is a relaxed structure of MgCuRu from Alexandria via LeMat-Bulk. Energies are from PBE-GGA.

```
data_MgCuRu
_cell_length_a 4.3784
_cell_length_b 4.3784
_cell_length_c 2.6110
_cell_angle_alpha 90.00
_cell_angle_beta 90.00
_cell_angle_gamma 120.00
_symmetry_space_group_name_H-M 'P 1'
_symmetry_Int_Tables_number 1
loop_
_symmetry_equiv_pos_as_xyz
'x,y,z'
loop_
_atom_site_label
_atom_site_type_symbol
_atom_site_fract_x
_atom_site_fract_y
_atom_site_fract_z
_atom_site_occupancy
Mg1 Mg 0.0000 0.0000 0.0000 1
Cu1 Cu 0.6667 0.3333 0.7564 1
Ru1 Ru 0.3333 0.6667 0.4028 1
```

The value obtained for the density of states at the Fermi level is 3.41 states/eV/f.u. As for the space-group type: P3m1 (156).


Most favorable first, least favorable last: <a>, <b>, <c>


<a>
Here is a relaxed structure of Mg2CuRu2 from Alexandria via LeMat-Bulk. Energies are from PBE-GGA.

```
data_Mg2CuRu2
_cell_length_a 6.3728
_cell_length_b 6.3728
_cell_length_c 4.0973
_cell_angle_alpha 90.00
_cell_angle_beta 90.00
_cell_angle_gamma 90.00
_symmetry_space_group_name_H-M 'P 1'
_symmetry_Int_Tables_number 1
loop_
_symmetry_equiv_pos_as_xyz
'x,y,z'
loop_
_atom_site_label
_atom_site_type_symbol
_atom_site_fract_x
_atom_site_fract_y
_atom_site_fract_z
_atom_site_occupancy
Mg1 Mg 0.1717 0.3283 0.0000 1
Mg2 Mg 0.3283 0.8283 0.0000 1
Mg3 Mg 0.6717 0.1717 0.0000 1
Mg4 Mg 0.8283 0.6717 0.0000 1
Cu1 Cu 0.0000 0.0000 0.5000 1
Cu2 Cu 0.5000 0.5000 0.5000 1
Ru1 Ru 0.1302 0.6302 0.5000 1
Ru2 Ru 0.3698 0.1302 0.5000 1
Ru3 Ru 0.6302 0.8698 0.5000 1
Ru4 Ru 0.8698 0.3698 0.5000 1
```

The value obtained for the density of states at the Fermi level is 4.26 states/eV/f.u. As for the space-group type: P4/mbm (127).


<b>
Here is a relaxed structure of Mg2CuRu2 from Alexandria via LeMat-Bulk. Energies are from PBE-GGA.

```
data_Mg2CuRu2
_cell_length_a 7.8509
_cell_length_b 7.8509
_cell_length_c 7.8509
_cell_angle_alpha 154.46
_cell_angle_beta 154.46
_cell_angle_gamma 36.44
_symmetry_space_group_name_H-M 'P 1'
_symmetry_Int_Tables_number 1
loop_
_symmetry_equiv_pos_as_xyz
'x,y,z'
loop_
_atom_site_label
_atom_site_type_symbol
_atom_site_fract_x
_atom_site_fract_y
_atom_site_fract_z
_atom_site_occupancy
Mg1 Mg 0.0989 0.0989 0.0000 1
Mg2 Mg 0.9011 0.9011 0.0000 1
Cu1 Cu 0.5000 0.5000 0.0000 1
Ru1 Ru 0.2500 0.7500 0.5000 1
Ru2 Ru 0.7500 0.2500 0.5000 1
```

The value obtained for the density of states at the Fermi level is 4.02 states/eV/f.u. As for the space-group type: I4/mmm (139).


Most favorable first, least favorable last: <a>, <b>


<a>
Here is a relaxed structure of Mg3CuS from Alexandria via LeMat-Bulk. Energies are from PBE-GGA.

```
data_Mg3CuS
_cell_length_a 4.8377
_cell_length_b 4.8377
_cell_length_c 4.8377
_cell_angle_alpha 90.00
_cell_angle_beta 90.00
_cell_angle_gamma 90.00
_symmetry_space_group_name_H-M 'P 1'
_symmetry_Int_Tables_number 1
loop_
_symmetry_equiv_pos_as_xyz
'x,y,z'
loop_
_atom_site_label
_atom_site_type_symbol
_atom_site_fract_x
_atom_site_fract_y
_atom_site_fract_z
_atom_site_occupancy
Mg1 Mg 0.0000 0.0000 0.5000 1
Mg2 Mg 0.0000 0.5000 0.0000 1
Mg3 Mg 0.5000 0.0000 0.0000 1
Cu1 Cu 0.0000 0.0000 0.0000 1
S1 S 0.5000 0.5000 0.5000 1
```

The value obtained for the density of states at the Fermi level is 2.24 states/eV/f.u. As for the space-group type: Pm-3m (221).


<b>
Here is a relaxed structure of Mg3CuS from Alexandria via LeMat-Bulk. Energies are from PBE-GGA.

```
data_Mg3CuS
_cell_length_a 4.7754
_cell_length_b 4.7754
_cell_length_c 4.7754
_cell_angle_alpha 90.00
_cell_angle_beta 90.00
_cell_angle_gamma 90.00
_symmetry_space_group_name_H-M 'P 1'
_symmetry_Int_Tables_number 1
loop_
_symmetry_equiv_pos_as_xyz
'x,y,z'
loop_
_atom_site_label
_atom_site_type_symbol
_atom_site_fract_x
_atom_site_fract_y
_atom_site_fract_z
_atom_site_occupancy
Mg1 Mg 0.0000 0.0000 0.5000 1
Mg2 Mg 0.0000 0.5000 0.0000 1
Mg3 Mg 0.5000 0.0000 0.0000 1
Cu1 Cu 0.5000 0.5000 0.5000 1
S1 S 0.0000 0.0000 0.0000 1
```

The value obtained for the density of states at the Fermi level is 2.00 states/eV/f.u. As for the space-group type: Pm-3m (221).


Most favorable first, least favorable last: <b>, <a>


<a>
Here is a relaxed structure of MgCu3S from Alexandria via LeMat-Bulk. Energies are from PBE-GGA.

```
data_MgCu3S
_cell_length_a 4.5730
_cell_length_b 4.5730
_cell_length_c 4.5730
_cell_angle_alpha 90.00
_cell_angle_beta 90.00
_cell_angle_gamma 90.00
_symmetry_space_group_name_H-M 'P 1'
_symmetry_Int_Tables_number 1
loop_
_symmetry_equiv_pos_as_xyz
'x,y,z'
loop_
_atom_site_label
_atom_site_type_symbol
_atom_site_fract_x
_atom_site_fract_y
_atom_site_fract_z
_atom_site_occupancy
Mg1 Mg 0.0000 0.0000 0.0000 1
Cu1 Cu 0.0000 0.0000 0.5000 1
Cu2 Cu 0.0000 0.5000 0.0000 1
Cu3 Cu 0.5000 0.0000 0.0000 1
S1 S 0.5000 0.5000 0.5000 1
```

The value obtained for the density of states at the Fermi level is 3.41 states/eV/f.u. As for the space-group type: Pm-3m (221).


<b>
Here is a relaxed structure of MgCu3S from Alexandria via LeMat-Bulk. Energies are from PBE-GGA.

```
data_MgCu3S
_cell_length_a 4.4340
_cell_length_b 4.4340
_cell_length_c 4.4340
_cell_angle_alpha 90.00
_cell_angle_beta 90.00
_cell_angle_gamma 90.00
_symmetry_space_group_name_H-M 'P 1'
_symmetry_Int_Tables_number 1
loop_
_symmetry_equiv_pos_as_xyz
'x,y,z'
loop_
_atom_site_label
_atom_site_type_symbol
_atom_site_fract_x
_atom_site_fract_y
_atom_site_fract_z
_atom_site_occupancy
Mg1 Mg 0.0000 0.0000 0.0000 1
Cu1 Cu 0.0000 0.5000 0.5000 1
Cu2 Cu 0.5000 0.0000 0.5000 1
Cu3 Cu 0.5000 0.5000 0.0000 1
S1 S 0.5000 0.5000 0.5000 1
```

The value obtained for the density of states at the Fermi level is 2.86 states/eV/f.u. As for the space-group type: Pm-3m (221).


Most favorable first, least favorable last: <b>, <a>